Compound: CeSmHgGe
Source: Alexandria
Functional: PBE
Structure: relaxed

Structure (CIF):
```
data_CeSmHgGe
_chemical_formula_sum 'Ce4 Sm4 Hg4 Ge4'
_space_group_name_H-M_alt 'F -4 3 m'
_space_group_IT_number 216
_space_group_name_Hall 'F -4 2 3'
_cell_length_a 7.4505
_cell_length_b 7.4505
_cell_length_c 7.4505
_cell_angle_alpha 90.00
_cell_angle_beta 90.00
_cell_angle_gamma 90.00
loop_
_atom_site_label
_atom_site_type_symbol
_atom_site_fract_x
_atom_site_fract_y
_atom_site_fract_z
Ce1 Ce 0.0000 0.0000 0.0000
Sm1 Sm 0.0000 0.0000 0.5000
Hg1 Hg 0.2500 0.2500 0.2500
Ge1 Ge 0.2500 0.2500 0.7500
```

Properties
The calculation puts the total energy at -4.39 eV/atom. Its energy of formation from the pure elements is -0.497 eV/atom.